Density functional theory data (PBE) for a geometry-optimized Cs3HfS4 structure.

Summary:
* offset from the most stable computed form: 222 meV/atom
* formation energy from raw total energies: -0.968 eV/atom
* magnetization: 1.0 μB per cell
* crystal system: tetragonal
* calculated total energy: -4.60 eV per atom
* DOS(E_F): 2.49 states/eV per cell

abc: 7.496 7.496 7.496
angles: 103.22 112.68 112.68
Each line ends with the local moment (μB).
Positions (direct):
Cs: 0.500 0.750 0.250  0.00
Cs: 0.000 0.000 0.000  0.00
Cs: 0.500 0.250 0.750  0.00
Hf: 0.000 0.500 0.500  -0.04
S: 0.586 0.293 0.293  0.15
S: 0.000 0.293 0.707  0.15
S: 0.000 0.707 0.293  0.15
S: 0.414 0.707 0.707  0.15

=====

Density functional theory data (PBE) for a geometry-optimized ZrMn2TeC structure.

Summary:
* formation energy from raw total energies: -0.069 eV/atom
* magnetization: 5.6 μB per cell
* crystal system: tetragonal
* calculated total energy: -7.92 eV per atom
* DOS(E_F): 4.73 states/eV per cell

abc: 4.078 4.655 4.078
angles: 90.00 90.00 90.00
Each line ends with the local moment (μB).
Positions (direct):
Mn: 0.000 0.000 0.500  3.02
Mn: 0.500 0.000 0.000  2.72
C: 0.000 0.000 0.000  -0.10
Te: 0.500 0.500 0.500  -0.02
Zr: 0.000 0.500 0.000  -0.11

=====

Density functional theory data (PBE) for a geometry-optimized CaIn3Cu structure.

Summary:
* offset from the most stable computed form: 1214 meV/atom
* DFT formation energy: 0.974 eV/atom
* magnetization: 0.0 μB per cell
* crystal system: cubic
* calculated total energy: -1.89 eV per atom
* DOS(E_F): 4.27 states/eV per cell

abc: 5.923 5.923 5.923
angles: 90.00 90.00 90.00
Positions (direct):
Ca: 0.000 0.000 0.000
Cu: 0.500 0.500 0.500
In: 0.000 0.500 0.000
In: 0.000 0.000 0.500
In: 0.500 0.000 0.000

=====

Density functional theory data (PBE) for a geometry-optimized Na3Ce2ScSe6 structure.

Summary:
* formation energy from raw total energies: -1.592 eV/atom
* magnetization: 2.0 μB per cell
* crystal system: monoclinic
* calculated total energy: -5.18 eV per atom
* DOS(E_F): 13.36 states/eV per cell

abc: 7.249 7.249 7.376
angles: 99.46 99.46 120.02
Each line ends with the local moment (μB).
Positions (direct):
Na: 0.168 0.832 0.500  0.00
Na: 0.832 0.168 0.500  0.00
Na: 0.500 0.500 0.500  0.00
Ce: 0.333 0.667 0.000  0.93
Ce: 0.667 0.333 0.000  0.93
Sc: 0.000 0.000 0.000  0.07
Se: 0.923 0.608 0.770  -0.01
Se: 0.762 0.762 0.228  -0.01
Se: 0.077 0.392 0.230  -0.01
Se: 0.608 0.923 0.770  -0.01
Se: 0.238 0.238 0.772  -0.01
Se: 0.392 0.077 0.230  -0.01

=====

Density functional theory data (PBE) for a geometry-optimized Ta2OsRu structure.

Summary:
* offset from the most stable computed form: 175 meV/atom
* DFT formation energy: -0.144 eV/atom
* magnetization: 0.0 μB per cell
* crystal system: monoclinic
* calculated total energy: -11.20 eV per atom
* DOS(E_F): 3.51 states/eV per cell

abc: 5.066 5.066 4.642
angles: 80.16 80.16 33.85
Positions (direct):
Os: 0.491 0.491 0.478
Ru: 0.761 0.761 0.769
Ta: 0.010 0.010 0.965
Ta: 0.238 0.238 0.287

=====

Density functional theory data (PBE) for a geometry-optimized ZrTe3Rh structure.

Summary:
* offset from the most stable computed form: 0 meV/atom
* formation energy from raw total energies: -0.547 eV/atom
* magnetization: 0.0 μB per cell
* crystal system: orthorhombic
* calculated total energy: -5.61 eV per atom
* DOS(E_F): 6.68 states/eV per cell

abc: 3.839 6.503 12.797
angles: 104.72 90.00 90.00
Positions (direct):
Zr: 0.250 0.117 0.663
Zr: 0.750 0.455 0.337
Te: 0.750 0.869 0.747
Te: 0.750 0.543 0.126
Te: 0.750 0.288 0.537
Te: 0.250 0.417 0.874
Te: 0.250 0.122 0.253
Te: 0.250 0.751 0.463
Rh: 0.250 0.724 0.253
Rh: 0.750 0.471 0.747

=====

Copy entry 6 word for word.
Density functional theory data (PBE) for a geometry-optimized ZrTe3Rh structure.

Summary:
* offset from the most stable computed form: 0 meV/atom
* formation energy from raw total energies: -0.547 eV/atom
* magnetization: 0.0 μB per cell
* crystal system: orthorhombic
* calculated total energy: -5.61 eV per atom
* DOS(E_F): 6.68 states/eV per cell

abc: 3.839 6.503 12.797
angles: 104.72 90.00 90.00
Positions (direct):
Zr: 0.250 0.117 0.663
Zr: 0.750 0.455 0.337
Te: 0.750 0.869 0.747
Te: 0.750 0.543 0.126
Te: 0.750 0.288 0.537
Te: 0.250 0.417 0.874
Te: 0.250 0.122 0.253
Te: 0.250 0.751 0.463
Rh: 0.250 0.724 0.253
Rh: 0.750 0.471 0.747

=====

Q: Among the records above, which one has the highest calculated total energy?
A: CaIn3Cu

=====

Q: Which value of magnetization does entry 3 give?
A: 0.0 μB per cell